Compound: Zn2NiO
Source: the Alexandria database
Functional: GGA+U
Structure: optimized geometry

Its crystal system is tetragonal. Its density of states at the Fermi level is 6.98 states/eV/cell. Its energy is -39.67 eV for the cell shown.

The structure belongs to space group I-42d (No. 122); the cell edges are 5.862, 5.862 and 6.050 Å and the angles 90.00°, 90.00° and 90.00°. The asymmetric unit holds Zn at (0.193, 0.250, 0.125), Ni at (0.000, 0.000, 0.500) and O at (0.000, 0.000, 0.000).